! NiMoRu2 | the Alexandria database | PBEsol | optimized geometry; values from VASP
! * density of states at the Fermi level: 1.19 states/eV/atom
! * DFT formation energy: 0.22 eV/atom
! * theoretical density: 11.1 g cm⁻³
! * space group: P2/m (10)
! * excess energy over the best structure of this formula in the dataset: 0.233 eV per atom
! * size of the total moment: 0.0 μB per cell
&SYSTEM
  ibrav = 0, nat = 4, ntyp = 3
/
ATOMIC_SPECIES
Ru 101.07 Ru.upf
Mo 95.94 Mo.upf
Ni 58.69 Ni.upf
CELL_PARAMETERS angstrom
-0.173 1.857 1.830
2.248 -2.460 2.710
4.055 1.610 -1.903
ATOMIC_POSITIONS crystal
Ru 0.787 0.000 0.730
Mo 0.500 0.500 0.000
Ni 0.000 0.500 0.500
Ru 0.213 0.000 0.270